Material: LaAl4Pd6
Method: DFT, PBE
State: relaxed

Its energy relative to the lowest polymorph listed for this composition is 0.0 kJ/mol of atoms. The calculation puts the formation energy at -0.875 eV per atom. The raw total energy comes out at -5.52 eV per atom. For the density of states at the Fermi level, the calculation gives 0.473 states/eV/atom. For the calculated volume, the calculation gives 16.9 Å³/atom.

It has space group P-6m2 (No. 187), with a = 7.3628 Å, b = 7.3628 Å, c = 3.9580 Å, α = 90.00°, β = 90.00° and γ = 120.00°. The distinct sites, in fractional coordinates, are La at (0.0000, 0.0000, 0.0000), Al at (0.3333, 0.6667, 0.0000), Al at (0.4060, 0.2030, 0.5000), Pd at (0.1999, 0.3997, 0.5000) and Pd at (0.5329, 0.0659, 0.0000).